Entry 1:
{
  "formula": "CuH12N2O2F4",
  "functional": "SCAN",
  "state": "single point on PBEsol structure",
  "cell": [[-1.398, 5.993, -3.440], [-3.384, -2.403, -5.699], [-6.890, 1.304, 1.213]],
  "species": ["N", "N", "N", "N", "H", "H", "H", "H", "H", "H", "H", "H", "H", "H", "H", "H", "H", "H", "H", "H", "H", "H", "H", "H", "H", "H", "H", "H", "Cu", "Cu", "O", "O", "O", "O", "F", "F", "F", "F", "F", "F", "F", "F"],
  "frac_coords": [[0.640, 0.756, 0.486], [0.756, 0.640, 0.986], [0.360, 0.244, 0.514], [0.244, 0.360, 0.014], [0.277, 0.218, 0.102], [0.901, 0.394, 0.388], [0.379, 0.403, 0.920], [0.091, 0.842, 0.610], [0.541, 0.826, 0.394], [0.640, 0.850, 0.579], [0.909, 0.158, 0.390], [0.403, 0.379, 0.420], [0.782, 0.723, 0.398], [0.218, 0.277, 0.602], [0.150, 0.360, 0.921], [0.158, 0.909, 0.890], [0.459, 0.174, 0.606], [0.597, 0.621, 0.580], [0.606, 0.099, 0.112], [0.723, 0.782, 0.898], [0.174, 0.459, 0.106], [0.360, 0.150, 0.421], [0.621, 0.597, 0.080], [0.099, 0.606, 0.612], [0.850, 0.640, 0.079], [0.826, 0.541, 0.894], [0.394, 0.901, 0.888], [0.842, 0.091, 0.110], [0.205, 0.795, 0.250], [0.795, 0.205, 0.750], [0.267, 0.842, 0.963], [0.158, 0.733, 0.537], [0.733, 0.158, 0.037], [0.842, 0.267, 0.463], [0.012, 0.988, 0.750], [0.422, 0.578, 0.250], [0.578, 0.422, 0.750], [0.023, 0.416, 0.741], [0.977, 0.584, 0.259], [0.988, 0.012, 0.250], [0.584, 0.977, 0.759], [0.416, 0.023, 0.241]],
  "dft_energy_ev_per_atom": -5.9653
}

=====

Entry 2:
{
  "formula": "K3FeC",
  "functional": "SCAN",
  "state": "single point on PBEsol structure",
  "cell": [[-3.382, 3.057, -3.858], [0.592, -4.393, -4.001], [-4.886, -2.648, 2.185]],
  "species": ["K", "K", "K", "Fe", "C"],
  "frac_coords": [[0.000, 0.500, 0.000], [0.500, 0.000, 0.000], [0.000, 0.000, 0.500], [0.000, 0.000, 0.000], [0.500, 0.500, 0.500]],
  "formation_energy_ev_per_fu": 9.0
}

=====

Entry 3:
{
  "formula": "SrMn2CoC",
  "functional": "SCAN",
  "state": "single point on PBEsol structure",
  "cell": [[-0.560, 4.176, -0.668], [-3.711, -0.162, 2.099], [2.748, 1.160, 4.948]],
  "species": ["Sr", "Co", "Mn", "Mn", "C"],
  "frac_coords": [[0.000, 0.000, 0.500], [0.000, 0.000, 0.000], [0.000, 0.500, 0.000], [0.500, 0.000, 0.000], [0.500, 0.500, 0.500]],
  "formation_energy_ev_per_fu": 7.5
}

=====

Entry 4:
{
  "formula": "ZrTlCl2",
  "functional": "SCAN",
  "state": "single point on PBEsol structure",
  "cell": [[-2.879, -0.701, 1.400], [-1.082, -3.343, -4.291], [3.964, -1.554, 3.732]],
  "species": ["Cl", "Cl", "Zr", "Tl"],
  "frac_coords": [[0.000, 0.000, 0.500], [0.500, 0.500, 0.500], [0.500, 0.500, 0.000], [0.000, 0.000, 0.000]],
  "e_form_raw_ev_per_atom": -0.68
}

=====

Entry 5:
{
  "formula": "BeAu3",
  "functional": "SCAN",
  "state": "single point on PBEsol structure",
  "cell": [[-0.771, 2.310, 1.576], [-1.428, -1.730, 1.837], [5.798, -0.694, 3.854]],
  "species": ["Au", "Au", "Au", "Be"],
  "frac_coords": [[0.000, 0.000, 0.203], [0.000, 0.000, 0.797], [0.500, 0.500, 0.500], [0.500, 0.500, 0.000]],
  "formation_energy_ev_per_fu": -0.8
}

=====

Entry 6:
{
  "formula": "LiAlPb3",
  "functional": "SCAN",
  "state": "single point on PBEsol structure",
  "cell": [[5.433, 0.000, 0.000], [0.000, 5.433, 0.000], [0.000, 0.000, 5.433]],
  "species": ["Al", "Pb", "Pb", "Pb", "Li"],
  "frac_coords": [[0.000, 0.000, 0.000], [0.000, 0.000, 0.500], [0.000, 0.500, 0.000], [0.500, 0.000, 0.000], [0.500, 0.500, 0.500]],
  "formation_energy_ev_per_fu": 1.1
}

=====

Entry 7:
{
  "formula": "MgReRh",
  "functional": "SCAN",
  "state": "single point on PBEsol structure",
  "cell": [[2.691, 0.000, 0.000], [0.000, 4.339, 0.000], [0.000, -2.169, 3.757]],
  "species": ["Re", "Mg", "Rh"],
  "frac_coords": [[0.644, 0.667, 0.333], [0.035, 0.000, 0.000], [0.320, 0.333, 0.667]],
  "formation_energy_ev_per_fu": 0.4
}

=====

Entry 8:
{
  "formula": "NaCaCr2",
  "functional": "SCAN",
  "state": "single point on PBEsol structure",
  "cell": [[5.198, 0.000, 0.000], [2.599, 4.502, 0.000], [2.599, 1.501, 4.244]],
  "species": ["Ca", "Cr", "Cr", "Na"],
  "frac_coords": [[0.500, 0.500, 0.500], [0.750, 0.750, 0.750], [0.250, 0.250, 0.250], [0.000, 0.000, 0.000]],
  "formation_energy_ev_per_fu": 2.6
}

=====

Entry 9:
{
  "formula": "KMgFe2",
  "functional": "SCAN",
  "state": "single point on PBEsol structure",
  "cell": [[3.619, 0.001, 0.024], [1.808, 3.135, 0.024], [1.737, 1.004, 7.926]],
  "species": ["Mg", "Fe", "Fe", "K"],
  "frac_coords": [[0.293, 0.293, 0.123], [0.705, 0.705, 0.887], [0.027, 0.027, 0.920], [0.475, 0.475, 0.570]],
  "formation_energy_ev_per_fu": 2.9
}

=====

Entry 10:
{
  "formula": "CaBeIr4",
  "functional": "SCAN",
  "state": "single point on PBEsol structure",
  "cell": [[5.171, 0.000, 0.000], [2.585, 4.478, 0.000], [2.585, 1.493, 4.222]],
  "species": ["Ir", "Ir", "Ir", "Ir", "Ca", "Be"],
  "frac_coords": [[0.874, 0.375, 0.375], [0.375, 0.874, 0.375], [0.375, 0.375, 0.375], [0.375, 0.375, 0.874], [0.000, 0.000, 0.000], [0.750, 0.750, 0.750]],
  "formation_energy_ev_per_fu": 0.0
}

=====

Entry 11:
{
  "formula": "IrSeSN2",
  "functional": "SCAN",
  "state": "single point on PBEsol structure",
  "cell": [[-3.255, -1.437, -1.063], [1.533, -1.107, -3.196], [1.340, -4.720, 2.278]],
  "species": ["N", "N", "Ir", "Se", "S"],
  "frac_coords": [[0.000, 0.500, 0.000], [0.500, 0.000, 0.000], [0.000, 0.000, 0.000], [0.500, 0.500, 0.500], [0.000, 0.000, 0.500]],
  "e_form_raw_ev_per_atom": 0.94
}

=====

Entry 12:
{
  "formula": "ZnIr2Os",
  "functional": "SCAN",
  "state": "single point on PBEsol structure",
  "cell": [[2.732, 0.000, 0.000], [0.000, 3.764, 0.000], [0.000, 0.000, 5.380]],
  "species": ["Os", "Ir", "Ir", "Zn"],
  "frac_coords": [[0.500, 0.500, 0.000], [0.000, 0.000, 0.249], [0.000, 0.000, 0.751], [0.500, 0.500, 0.500]],
  "formation_energy_ev_per_fu": 0.0
}